[1]
This record from Alexandria via LeMat-Bulk describes an optimized crystal structure of Tb4Dy3Tm. The functional is PBE.

Calculated values
The spin magnetization is 0.0 μB/f.u. The calculated volume is 32.21 Å³/atom. Its crystal system is orthorhombic. As for the space-group type: Cmmm, No. 65. The calculation puts the energy relative to the lowest polymorph listed for this composition at 180.4 meV per atom.

Cell and atoms, written as POSCAR:
```
Tb4Dy3Tm
1.0
5.4867 0.0000 -1.0936
-0.0648 3.5433 -0.3252
-0.2244 1.2115 13.1839
Tm Tb Dy
1 4 3
Cartesian
2.7433 0.0000 -0.5468 Tm
3.2280 2.0197 1.8848 Tb
1.9694 2.7351 9.8803 Tb
1.3641 2.4405 6.8435 Tb
3.8334 2.3144 4.9216 Tb
-0.0324 1.7717 -0.1626 Dy
4.4250 4.3818 7.8897 Dy
0.7725 0.3731 3.8753 Dy
```

---

[2]
This record from Alexandria via LeMat-Bulk describes an optimized crystal structure of CdAgRh. The functional is PBE.

Calculated values
The spin magnetization is 0.0 μB/f.u. The calculated volume is 17.25 Å³/atom. Its crystal system is monoclinic. As for the space-group type: C2/m, No. 12. The calculation puts the energy relative to the lowest polymorph listed for this composition at 0.0 meV per atom.

Cell and atoms, written as POSCAR:
```
CdAgRh
1.0
-1.4580 -2.6131 0.9165
-1.6376 -0.6229 -4.3756
7.6504 -1.9797 1.1717
Rh Cd Ag
2 2 2
Cartesian
4.3556 -1.7727 -0.7987 Rh
0.1993 -3.4430 -1.4886 Rh
1.7699 -1.8394 0.2401 Cd
2.7849 -3.3763 -2.5275 Cd
5.3093 -4.3875 -1.3994 Ag
-0.7545 -0.8281 -0.8880 Ag
```